[1]
A plane-wave DFT calculation with PBE-GGA was carried out for a relaxed Ta2AsPt crystal.

```
Ta2AsPt
1.0
-2.4034 -4.3274 0.9475
-0.2934 -3.8728 3.2118
-3.4729 1.0719 3.0208
Ta As Pt
2 1 1
direct
0.9853 0.9853 0.0584
0.7685 0.7685 0.6839
0.5050 0.5050 0.5557
0.2412 0.2412 0.2019
```

Calculated values
For the formation enthalpy at 0 K, the calculation gives -322 meV/atom. Its symmetry is Cm.

[2]
A plane-wave DFT calculation with PBE-GGA was carried out for a relaxed InRuSe crystal.

```
InRuSe
1.0
-3.7801 -0.4874 2.2552
-1.6275 -4.0508 0.7449
0.0650 -1.6947 4.0911
Se Ru In
1 1 1
direct
0.0000 0.0000 0.0000
0.7500 0.7500 0.7500
0.5000 0.5000 0.5000
```

Calculated values
Its symmetry is F-43m. The total energy is -4.988 eV/atom.

[3]
A plane-wave DFT calculation with PBE-GGA was carried out for a relaxed Pm4PrTc crystal.

```
Pm4PrTc
1.0
-4.3785 -0.7258 -4.1001
5.1096 -3.2633 -4.8788
-2.0696 -5.4417 7.6787
Tc Pr Pm
2 2 8
direct
0.3317 0.5217 0.0435
0.6683 0.4783 0.9565
0.1838 0.1972 0.3944
0.8162 0.8028 0.6056
0.3801 0.6440 0.7623
0.0000 0.2169 0.0000
0.6199 0.8817 0.2377
0.6199 0.3560 0.2377
0.1776 0.6715 0.3430
0.3801 0.1183 0.7623
0.0000 0.7831 0.0000
0.8224 0.3285 0.6570
```

Calculated values
For the formation enthalpy at 0 K, the calculation gives 71 meV/atom. Its symmetry is C2/m.

[4]
A plane-wave DFT calculation with PBE-GGA was carried out for a relaxed LiAs5 crystal.

```
LiAs5
1.0
0.1450 7.9713 3.3044
-3.3014 -7.8822 -1.2057
1.8709 -1.2220 2.8657
As Li
5 1
direct
0.8764 0.1236 0.0000
0.6924 0.3076 0.5000
0.3076 0.6924 0.5000
0.0000 0.0000 0.5000
0.1236 0.8764 0.0000
0.5000 0.5000 0.0000
```

Calculated values
For the formation enthalpy at 0 K, the calculation gives 106 meV/atom. Its symmetry is Cmmm.

[5]
A plane-wave DFT calculation with PBE-GGA was carried out for a relaxed TiCdSb2Te crystal.

```
TiCdSb2Te
1.0
-3.0779 -4.0790 -1.5018
3.1991 -0.8800 -4.1663
2.9238 -3.2886 2.9397
Sb Ti Cd Te
2 1 1 1
direct
0.5000 0.0000 0.0000
0.0000 0.5000 0.0000
0.0000 0.0000 0.0000
0.5000 0.5000 0.5000
0.0000 0.0000 0.5000
```

Calculated values
Its symmetry is P4/mmm. The total energy is -3.937 eV/atom.

[6]
A plane-wave DFT calculation with PBE-GGA was carried out for a relaxed Li2Ca5H12 crystal.

```
Li2Ca5H12
1.0
-4.5272 -0.1529 -3.6354
2.4386 -5.9139 1.8517
-4.4412 2.1021 5.4422
H Ca Li
12 5 2
direct
0.5913 0.6826 0.4209
0.9087 0.3174 0.5791
0.0163 0.0325 0.2040
0.8912 0.3394 0.0852
0.5519 0.6606 0.9148
0.4929 0.9859 0.1929
0.4087 0.3174 0.5791
0.9837 0.9675 0.7960
0.5071 0.0141 0.8071
0.0913 0.6826 0.4209
0.4481 0.3394 0.0852
0.1088 0.6606 0.9148
0.3214 0.6427 0.6602
0.6786 0.3573 0.3398
0.0000 0.0000 0.5000
0.3033 0.6065 0.1509
0.6967 0.3935 0.8491
0.2311 0.0000 0.0000
0.7689 0.0000 0.0000
```

Calculated values
Its symmetry is C2/m. The total energy is -3.319 eV/atom.

[7]
A plane-wave DFT calculation with PBE-GGA was carried out for a relaxed Nd2ErPa crystal.

```
Nd2ErPa
1.0
3.3771 0.0000 0.0000
1.6885 2.9246 0.0000
1.6885 0.9749 12.4373
Pa Nd Er
1 2 1
direct
0.0000 0.0000 0.0000
0.0866 0.0866 0.7402
0.9134 0.9134 0.2598
0.5000 0.5000 0.5000
```

Calculated values
For the formation enthalpy at 0 K, the calculation gives 308 meV/atom. Its symmetry is R-3m.

[8]
A plane-wave DFT calculation with PBE-GGA was carried out for a relaxed MgIn2Si crystal.

```
MgIn2Si
1.0
5.5946 0.0342 0.0000
2.1503 5.1649 0.0000
-3.8724 -2.5996 3.0898
In Mg Si
2 1 1
direct
0.0000 0.0000 0.0000
0.5000 0.5000 0.0000
0.2500 0.7500 0.5000
0.7500 0.2500 0.5000
```

Calculated values
Its symmetry is I4/mmm. The total energy is -2.949 eV/atom.

[9]
A plane-wave DFT calculation with PBE-GGA was carried out for a relaxed SrTl2Mo crystal.

```
SrTl2Mo
1.0
10.1658 -0.0006 -0.0003
9.5757 3.4131 -0.0003
9.5757 1.6553 2.9849
Mo Tl Sr
1 2 1
direct
0.7500 0.7500 0.7500
0.0099 0.0099 0.0099
0.4901 0.4901 0.4901
0.2500 0.2500 0.2500
```

Calculated values
For the formation enthalpy at 0 K, the calculation gives 571 meV/atom. Its symmetry is R-3m.

[10]
A plane-wave DFT calculation with PBE-GGA was carried out for a relaxed Nd3ThTe4 crystal.

```
Nd3ThTe4
1.0
-2.6525 -3.5833 0.4902
2.6764 -0.9907 7.2398
-6.2437 4.6425 0.1515
Te Nd Th
4 3 1
direct
0.0000 0.7499 0.7499
0.5000 0.7502 0.2498
0.5000 0.2498 0.7502
0.0000 0.2501 0.2501
0.5000 0.5000 0.5000
0.0000 0.5000 0.0000
0.0000 0.0000 0.5000
0.5000 0.0000 0.0000
```

Calculated values
Its symmetry is Cmmm. The total energy is -5.599 eV/atom.

Volume across the listed records, respectively: 67.78 61.42 388.80 116.01 150.12 243.46 122.84 89.05 103.60 256.04 Å³/cell.